Material: SiNi6Ru
Method: DFT, GGA-PBEsol
State: optimized geometry

Output
For the uncorrected formation energy, the calculation gives -1.3 eV per formula unit. The theoretical density is 9.3 Mg/m³.

abc: 6.0712 6.0712 9.9169
angles: 90.00 90.00 109.55
Closest atoms and distances in Å follow each position.
Fractional positions:
Si  0.0000  0.0000  0.2483  12 Ni 2.44-2.50
Si  0.0000  0.0000  0.7517  12 Ni 2.44-2.50
Si  0.2538  0.7462  0.0000  12 Ni 2.44-2.52
Si  0.7462  0.2538  0.0000  12 Ni 2.44-2.52
Ni  0.0000  0.0000  0.0000  8 Ni 2.45, 4 Si 2.46-2.52
Ni  0.0000  0.0000  0.5000  8 Ni 2.47, 2 Si 2.50, 2 Ru 2.50
Ni  0.1203  0.3689  0.3710  1 Si 2.44, 8 Ni 2.45-2.56, 3 Ru 2.48-2.52
Ni  0.1203  0.3689  0.6290  1 Si 2.44, 8 Ni 2.45-2.56, 3 Ru 2.48-2.52
Ni  0.1210  0.3728  0.1221  8 Ni 2.42-2.50, 3 Si 2.46-2.47, 1 Ru 2.52
Ni  0.1210  0.3728  0.8779  8 Ni 2.42-2.50, 3 Si 2.46-2.47, 1 Ru 2.52
Ni  0.2493  0.7507  0.2458  2 Si 2.44-2.47, 8 Ni 2.45-2.51, 2 Ru 2.49-2.52
Ni  0.2493  0.7507  0.7542  2 Si 2.44-2.47, 8 Ni 2.45-2.51, 2 Ru 2.49-2.52
Ni  0.3689  0.1203  0.3710  1 Si 2.44, 8 Ni 2.45-2.56, 3 Ru 2.48-2.52
Ni  0.3689  0.1203  0.6290  1 Si 2.44, 8 Ni 2.45-2.56, 3 Ru 2.48-2.52
Ni  0.3728  0.1210  0.1221  8 Ni 2.42-2.50, 3 Si 2.46-2.47, 1 Ru 2.52
Ni  0.3728  0.1210  0.8779  8 Ni 2.42-2.50, 3 Si 2.46-2.47, 1 Ru 2.52
Ni  0.5000  0.5000  0.0000  2 Si 2.44, 8 Ni 2.48, 2 Ru 2.49
Ni  0.5000  0.5000  0.5000  4 Ru 2.46-2.47, 8 Ni 2.52
Ni  0.6272  0.8790  0.1221  8 Ni 2.42-2.50, 3 Si 2.46-2.47, 1 Ru 2.52
Ni  0.6272  0.8790  0.8779  8 Ni 2.42-2.50, 3 Si 2.46-2.47, 1 Ru 2.52
Ni  0.6311  0.8797  0.3710  1 Si 2.44, 8 Ni 2.45-2.56, 3 Ru 2.48-2.52
Ni  0.6311  0.8797  0.6290  1 Si 2.44, 8 Ni 2.45-2.56, 3 Ru 2.48-2.52
Ni  0.7507  0.2493  0.2458  2 Si 2.44-2.47, 8 Ni 2.45-2.51, 2 Ru 2.49-2.52
Ni  0.7507  0.2493  0.7542  2 Si 2.44-2.47, 8 Ni 2.45-2.51, 2 Ru 2.49-2.52
Ni  0.8790  0.6272  0.1221  8 Ni 2.42-2.50, 3 Si 2.46-2.47, 1 Ru 2.52
Ni  0.8790  0.6272  0.8779  8 Ni 2.42-2.50, 3 Si 2.46-2.47, 1 Ru 2.52
Ni  0.8797  0.6311  0.3710  1 Si 2.44, 8 Ni 2.45-2.56, 3 Ru 2.48-2.52
Ni  0.8797  0.6311  0.6290  1 Si 2.44, 8 Ni 2.45-2.56, 3 Ru 2.48-2.52
Ru  0.2521  0.7479  0.5000  12 Ni 2.46-2.52
Ru  0.5000  0.5000  0.2508  12 Ni 2.47-2.52
Ru  0.5000  0.5000  0.7492  12 Ni 2.47-2.52
Ru  0.7479  0.2521  0.5000  12 Ni 2.46-2.52

***

Material: Si2NiRu
Method: DFT, GGA-PBEsol
State: optimized geometry

Output
For the uncorrected formation energy, the calculation gives -2.2 eV per formula unit. The theoretical density is 7.7 Mg/m³.

abc: 2.9092 2.9092 5.5112
angles: 90.00 90.00 90.00
Closest atoms and distances in Å follow each position.
Fractional positions:
Si  0.0000  0.0000  0.2349  4 Ni 2.43, 4 Ru 2.52, 1 Si 2.59
Si  0.0000  0.0000  0.7651  4 Ni 2.43, 4 Ru 2.52, 1 Si 2.59
Ni  0.5000  0.5000  0.0000  8 Si 2.43
Ru  0.5000  0.5000  0.5000  8 Si 2.52, 2 Ni 2.76

***

Material: SiNiRu2
Method: DFT, GGA-PBEsol
State: optimized geometry

Output
For the uncorrected formation energy, the calculation gives -0.7 eV per formula unit. The theoretical density is 9.7 Mg/m³.

abc: 2.7033 3.5766 5.0942
angles: 90.00 90.00 90.00
Closest atoms and distances in Å follow each position.
Fractional positions:
Si  0.0000  0.0000  0.0000  6 Ru 2.44-2.66, 4 Ni 2.52, 2 Si 2.70
Ni  0.5000  0.5000  0.2243  6 Ru 2.52-2.59, 4 Si 2.52, 2 Ni 2.70
Ru  0.0000  0.0000  0.4783  2 Si 2.44-2.66, 6 Ru 2.58-2.70, 4 Ni 2.59
Ru  0.5000  0.5000  0.7306  2 Ni 2.52-2.58, 6 Ru 2.58-2.70, 4 Si 2.63

***

Material: Si2NiRu
Method: DFT, GGA-PBEsol
State: optimized geometry

Output
For the uncorrected formation energy, the calculation gives -2.4 eV per formula unit. The theoretical density is 7.5 Mg/m³.

abc: 4.4214 4.4214 4.0670
angles: 104.60 104.60 38.56
Closest atoms and distances in Å follow each position.
Fractional positions:
Si  0.0000  0.0000  0.0000  3 Ru 2.39-2.40, 4 Ni 2.44-2.56
Si  0.2445  0.2445  0.6376  3 Ni 2.37-2.40, 4 Ru 2.49-2.52
Ni  0.5078  0.5078  0.5226  7 Si 2.37-2.56
Ru  0.7370  0.7370  0.1292  7 Si 2.39-2.52